(1)
A relaxed structure of Al2CuSi2, computed with PBE.

Calculated values
Spin magnetization (μB/f.u.): 0.0
Formation energy from raw total energies (meV/atom): 243
Excess energy over the best structure of this formula in the dataset (eV/atom): 0.154

Structure (POSCAR):
```
Al2CuSi2
1.0
-1.686 1.686 7.083
1.686 -1.686 7.083
1.686 1.686 -7.083
Al Cu Si
2 1 2
direct
0.598 0.598 0.000
0.402 0.402 0.000
0.000 0.000 0.000
0.250 0.750 0.500
0.750 0.250 0.500
```


(2)
A relaxed structure of CrSb2W, computed with PBE.

Calculated values
Spin magnetization (μB/f.u.): 0.0
Formation energy from raw total energies (meV/atom): 227
Excess energy over the best structure of this formula in the dataset (eV/atom): 0.000

Structure (POSCAR):
```
CrSb2W
1.0
-3.000 -0.657 -0.778
0.986 -2.478 -1.709
-0.648 -4.737 6.496
Cr Sb W
1 2 1
direct
0.500 0.500 0.711
0.000 0.000 0.924
0.500 0.500 0.316
0.000 0.000 0.550
```


(3)
A relaxed structure of LiCdTc4, computed with PBE.

Calculated values
Spin magnetization (μB/f.u.): 0.0
ΔE_f (eV/f.u.): 2.5

Structure (POSCAR):
```
LiCdTc4
1.0
0.000 3.668 3.668
3.668 0.000 3.668
3.668 3.668 0.000
Li Cd Tc
1 1 4
direct
0.000 0.000 0.000
0.750 0.750 0.750
0.876 0.375 0.375
0.375 0.375 0.375
0.375 0.375 0.876
0.375 0.876 0.375
```


(4)
A relaxed structure of TcRu2Pb, computed with PBE.

Calculated values
Spin magnetization (μB/f.u.): 0.9
ΔE_f (eV/f.u.): 2.4

Structure (POSCAR):
```
TcRu2Pb
1.0
4.756 0.067 0.000
-1.153 4.615 0.000
0.000 0.000 2.967
Pb Ru Tc
1 2 1
direct
0.000 0.500 0.500
0.000 0.000 0.000
0.500 0.500 0.000
0.500 0.000 0.500
```


(5)
A relaxed structure of ErHf2Rh, computed with PBE.

Calculated values
Spin magnetization (μB/f.u.): 0.0
ΔE_f (eV/f.u.): -1.2

Structure (POSCAR):
```
ErHf2Rh
1.0
-1.049 -1.771 -2.622
3.082 -1.198 -0.424
-1.658 -5.918 4.661
Rh Hf Er
1 2 1
direct
0.500 0.500 0.000
0.000 0.000 0.797
0.000 0.000 0.203
0.500 0.500 0.500
```


(6)
A relaxed structure of Si2GePb, computed with PBE.

Calculated values
Spin magnetization (μB/f.u.): 0.0
Formation energy from raw total energies (meV/atom): 642
Excess energy over the best structure of this formula in the dataset (eV/atom): 0.379

Structure (POSCAR):
```
Si2GePb
1.0
0.000 3.477 3.477
3.477 0.000 3.477
3.477 3.477 0.000
Pb Ge Si
1 1 2
direct
0.500 0.500 0.500
0.000 0.000 0.000
0.250 0.250 0.250
0.750 0.750 0.750
```


(7)
A relaxed structure of CaMgPb2, computed with PBE.

Calculated values
Spin magnetization (μB/f.u.): 0.0
ΔE_f (eV/f.u.): -1.0

Structure (POSCAR):
```
CaMgPb2
1.0
-2.399 1.539 5.711
-5.192 1.363 3.454
-1.785 -4.597 2.567
Pb Ca Mg
2 1 1
direct
0.000 0.000 0.086
0.751 0.751 0.659
0.498 0.498 0.584
0.252 0.252 0.170
```


(8)
A relaxed structure of AlInGa6, computed with PBE.

Calculated values
Spin magnetization (μB/f.u.): 0.0
ΔE_f (eV/f.u.): 0.4
Excess energy over the best structure of this formula in the dataset (eV/atom): 0.004

Structure (POSCAR):
```
AlInGa6
1.0
-2.338 2.243 2.694
2.546 -1.139 3.158
4.956 6.950 -1.487
Al In Ga
1 1 6
direct
0.000 0.000 0.500
0.000 0.000 0.000
0.500 0.500 0.000
0.500 0.500 0.500
0.500 0.000 0.269
0.500 0.000 0.731
0.000 0.500 0.269
0.000 0.500 0.731
```


(9)
A relaxed structure of TePd6, computed with PBE.

Calculated values
Spin magnetization (μB/f.u.): 0.0
Formation energy from raw total energies (meV/atom): -136
Excess energy over the best structure of this formula in the dataset (eV/atom): 0.000

Structure (POSCAR):
```
TePd6
1.0
4.279 0.000 1.469
1.887 3.840 1.469
0.002 0.001 6.961
Te Pd
1 6
direct
0.000 0.000 0.000
0.712 0.712 0.863
0.433 0.433 0.702
0.140 0.140 0.579
0.860 0.860 0.421
0.567 0.567 0.298
0.288 0.288 0.137
```


(10)
A relaxed structure of SrAlZn2Ag5, computed with PBE.

Calculated values
Spin magnetization (μB/f.u.): 0.0
ΔE_f (eV/f.u.): 0.5

Structure (POSCAR):
```
SrAlZn2Ag5
1.0
-4.563 1.890 -0.986
-0.005 -2.340 -4.460
-3.181 -6.029 3.167
Sr Al Zn Ag
1 1 2 5
direct
0.000 0.000 0.500
0.000 0.000 0.000
0.500 0.500 0.162
0.500 0.500 0.838
0.000 0.500 0.199
0.500 0.000 0.199
0.000 0.500 0.801
0.500 0.000 0.801
0.500 0.500 0.500
```


(11)
A relaxed structure of MnZnAs3, computed with PBE.

Calculated values
Spin magnetization (μB/f.u.): 0.0
ΔE_f (eV/f.u.): 6.5
Excess energy over the best structure of this formula in the dataset (eV/atom): 0.902

Structure (POSCAR):
```
MnZnAs3
1.0
-4.635 -0.856 -0.628
1.057 -3.473 -3.071
0.094 -3.134 3.575
As Mn Zn
3 1 1
direct
0.000 0.500 0.000
0.000 0.000 0.500
0.500 0.000 0.000
0.500 0.500 0.500
0.000 0.000 0.000
```


(12)
A relaxed structure of Cu3PSe2S2, computed with PBE.

Calculated values
Spin magnetization (μB/f.u.): 0.0
Formation energy from raw total energies (meV/atom): -191

Structure (POSCAR):
```
Cu3PSe2S2
1.0
-1.618 -3.816 4.736
-2.165 -4.454 -4.328
6.751 -3.097 -0.189
Cu P Se S
6 2 4 4
direct
0.528 0.827 0.500
0.028 0.173 0.000
0.488 0.340 0.247
0.488 0.340 0.753
0.988 0.660 0.253
0.988 0.660 0.747
0.019 0.182 0.500
0.519 0.818 0.000
0.657 0.175 0.500
0.157 0.825 0.000
0.140 0.857 0.500
0.640 0.143 0.000
0.128 0.339 0.265
0.128 0.339 0.735
0.628 0.661 0.235
0.628 0.661 0.765
```


(13)
A relaxed structure of HfTl3S, computed with PBE.

Calculated values
Spin magnetization (μB/f.u.): 0.0
Formation energy from raw total energies (meV/atom): 828
Excess energy over the best structure of this formula in the dataset (eV/atom): 0.033

Structure (POSCAR):
```
HfTl3S
1.0
5.345 0.000 0.000
0.000 5.345 0.000
0.000 0.000 5.345
Tl Hf S
3 1 1
direct
0.000 0.500 0.000
0.000 0.000 0.500
0.500 0.000 0.000
0.500 0.500 0.500
0.000 0.000 0.000
```


(14)
A relaxed structure of BeVAg, computed with PBE.

Calculated values
Spin magnetization (μB/f.u.): 1.7
ΔE_f (eV/f.u.): 1.4
Excess energy over the best structure of this formula in the dataset (eV/atom): 0.371

Structure (POSCAR):
```
BeVAg
1.0
-4.200 -0.583 -0.536
2.715 -3.218 -0.735
-0.429 -1.502 4.992
Be Ag V
2 2 2
direct
0.333 0.667 0.250
0.667 0.333 0.750
0.000 0.000 0.000
0.000 0.000 0.500
0.333 0.667 0.750
0.667 0.333 0.250
```


(15)
A relaxed structure of Gd2AlTl, computed with PBE.

Calculated values
Spin magnetization (μB/f.u.): 14.4
ΔE_f (eV/f.u.): -1.4
Excess energy over the best structure of this formula in the dataset (eV/atom): 0.024

Structure (POSCAR):
```
Gd2AlTl
1.0
5.303 0.000 0.000
2.651 4.592 0.000
2.651 1.531 4.330
Tl Gd Al
1 2 1
direct
0.500 0.500 0.500
0.250 0.250 0.250
0.750 0.750 0.750
0.000 0.000 0.000
```


(16)
A relaxed structure of PrY3Pt8, computed with PBE.

Calculated values
Spin magnetization (μB/f.u.): 0.0
ΔE_f (eV/f.u.): -12.4

Structure (POSCAR):
```
PrY3Pt8
1.0
-1.353 2.677 -4.588
0.345 -5.471 -0.019
-8.647 -0.553 2.228
Pr Y Pt
1 3 8
direct
0.000 0.000 0.567
0.667 0.333 0.430
0.667 0.333 0.063
0.000 0.000 0.940
0.333 0.667 0.500
0.333 0.667 0.999
0.502 0.005 0.753
0.502 0.498 0.753
0.995 0.498 0.753
0.165 0.330 0.248
0.165 0.835 0.248
0.670 0.835 0.248
```


(17)
A relaxed structure of MgNiRu, computed with PBE.

Calculated values
Spin magnetization (μB/f.u.): 2.1
ΔE_f (eV/f.u.): 1.0
Excess energy over the best structure of this formula in the dataset (eV/atom): 0.383

Structure (POSCAR):
```
MgNiRu
1.0
4.087 0.000 0.000
2.043 3.539 0.000
2.043 1.180 3.337
Mg Ni Ru
1 1 1
direct
0.500 0.500 0.500
0.250 0.250 0.250
0.000 0.000 0.000
```


(18)
A relaxed structure of Tm3AlCo, computed with PBE.

Calculated values
Spin magnetization (μB/f.u.): 0.1
ΔE_f (eV/f.u.): -1.3
Excess energy over the best structure of this formula in the dataset (eV/atom): 0.000

Structure (POSCAR):
```
Tm3AlCo
1.0
5.043 -0.379 2.297
1.504 4.829 2.297
-0.019 -0.013 9.015
Tm Al Co
6 2 2
direct
0.300 0.300 0.901
0.700 0.700 0.099
0.079 0.079 0.719
0.921 0.921 0.281
0.700 0.700 0.710
0.300 0.300 0.290
0.699 0.301 0.500
0.301 0.699 0.500
0.253 0.747 0.000
0.747 0.253 0.000
```


(19)
A relaxed structure of Pu3SiGe2Rh3, computed with PBE.

Calculated values
Spin magnetization (μB/f.u.): 14.8
Formation energy from raw total energies (meV/atom): -599

Structure (POSCAR):
```
Pu3SiGe2Rh3
1.0
4.133 0.000 0.000
0.000 6.851 0.000
0.000 -3.425 5.933
Pu Si Ge Rh
3 1 2 3
direct
0.000 0.000 0.425
0.000 0.575 0.575
0.000 0.425 0.000
0.000 0.000 0.000
0.500 0.333 0.667
0.500 0.667 0.333
0.500 0.767 0.000
0.500 0.233 0.233
0.500 0.000 0.767
```


(20)
A relaxed structure of Ca2MgInPb5, computed with PBE.

Calculated values
Spin magnetization (μB/f.u.): 0.0
ΔE_f (eV/f.u.): -0.4

Structure (POSCAR):
```
Ca2MgInPb5
1.0
7.242 0.000 0.000
0.000 8.865 0.000
0.000 0.000 8.865
Ca Mg In Pb
4 2 2 10
direct
0.500 0.626 0.126
0.500 0.126 0.374
0.500 0.874 0.626
0.500 0.374 0.874
0.000 0.000 0.500
0.000 0.500 0.000
0.000 0.500 0.500
0.000 0.000 0.000
0.500 0.500 0.500
0.500 0.000 0.000
0.218 0.195 0.695
0.218 0.805 0.305
0.218 0.305 0.195
0.218 0.695 0.805
0.782 0.195 0.695
0.782 0.695 0.805
0.782 0.805 0.305
0.782 0.305 0.195
```


(21)
A relaxed structure of BiAsC, computed with PBE.

Calculated values
Spin magnetization (μB/f.u.): 0.0
ΔE_f (eV/f.u.): 1.9
Excess energy over the best structure of this formula in the dataset (eV/atom): 0.141

Structure (POSCAR):
```
BiAsC
1.0
-0.480 5.243 0.881
-5.210 -3.145 0.521
3.994 -0.617 4.644
C As Bi
2 2 2
direct
0.103 0.097 0.248
0.213 0.318 0.478
0.754 0.986 0.002
0.265 0.831 0.111
0.066 0.649 0.598
0.557 0.405 0.783
```


(22)
A relaxed structure of Na3Tb3VSe8, computed with PBE.

Calculated values
Spin magnetization (μB/f.u.): 1.0
Formation energy from raw total energies (meV/atom): -1424

Structure (POSCAR):
```
Na3Tb3VSe8
1.0
8.087 0.000 0.000
-4.043 7.003 -0.026
0.000 -4.644 7.140
Na Tb V Se
3 3 1 8
direct
0.000 0.000 0.000
0.000 0.500 0.000
0.500 0.500 0.000
0.500 0.000 0.500
0.500 0.500 0.500
0.000 0.500 0.500
0.000 0.000 0.500
0.256 0.511 0.267
0.744 0.489 0.733
0.778 0.555 0.287
0.222 0.445 0.713
0.778 0.010 0.287
0.222 0.990 0.713
0.232 0.010 0.287
0.768 0.990 0.713
```


(23)
A relaxed structure of ZrCr, computed with PBE.

Calculated values
Spin magnetization (μB/f.u.): 0.5
ΔE_f (eV/f.u.): 0.6

Structure (POSCAR):
```
ZrCr
1.0
-5.908 -4.930 9.349
-1.197 -2.143 -1.887
4.527 -3.446 1.043
Zr Cr
6 6
direct
0.795 0.000 0.191
0.205 0.000 0.191
0.295 0.500 0.691
0.705 0.500 0.691
0.000 0.500 0.938
0.500 0.000 0.438
0.888 0.000 0.629
0.112 0.000 0.629
0.388 0.500 0.129
0.612 0.500 0.129
0.000 0.500 0.424
0.500 0.000 0.924
```


(24)
A relaxed structure of Li4MgCd4, computed with PBE.

Calculated values
Spin magnetization (μB/f.u.): 0.0
ΔE_f (eV/f.u.): -0.5
Excess energy over the best structure of this formula in the dataset (eV/atom): 0.146

Structure (POSCAR):
```
Li4MgCd4
1.0
-3.161 2.608 4.194
-2.546 -5.127 1.270
8.343 -2.239 7.682
Li Mg Cd
8 2 8
direct
0.500 0.763 0.766
0.500 0.237 0.766
0.763 0.500 0.234
0.237 0.500 0.234
0.263 0.000 0.266
0.737 0.000 0.266
0.000 0.263 0.734
0.000 0.737 0.734
0.000 0.000 0.000
0.500 0.500 0.500
0.236 0.500 0.916
0.764 0.500 0.916
0.500 0.764 0.084
0.500 0.236 0.084
0.000 0.736 0.416
0.000 0.264 0.416
0.264 0.000 0.584
0.736 0.000 0.584
```


(25)
A relaxed structure of CsGeBr4, computed with PBE.

Calculated values
Spin magnetization (μB/f.u.): 0.0
Formation energy from raw total energies (meV/atom): -787
Excess energy over the best structure of this formula in the dataset (eV/atom): 0.143

Structure (POSCAR):
```
CsGeBr4
1.0
-4.222 3.801 -4.549
-1.658 -0.979 -5.102
-8.546 -3.489 -0.805
Cs Ge Br
1 1 4
direct
0.500 0.500 0.000
0.000 0.000 0.500
0.679 0.615 0.527
0.959 0.769 0.813
0.041 0.231 0.187
0.321 0.385 0.473
```